1.
Computed, not measured: crystalline Ta2AlV2Fe5 at its relaxed geometry at the PBE-GGA level of DFT.

Cell lengths 9.4689, 9.4689, 2.9231 Å; angles 90.00, 90.00, 90.00 degrees
With the nearest neighbours (Å) after each atom.
Space group P4/mbm (No. 127)
Inequivalent atoms, fractional coordinates:
Ta 0.1752 0.3248 0.0000  1 V 2.57, 6 Fe 2.76-2.83
Al 0.0000 0.0000 0.0000  8 Fe 2.45
V 0.1329 0.6329 0.0000  6 Fe 2.29-2.30
Fe 0.0000 0.5000 0.5000  4 V 2.30
Fe 0.0493 0.7985 0.5000  2 V 2.29, 2 Al 2.45



2.
Computed, not measured: crystalline TbAl6Fe6 at its relaxed geometry at the PBE-GGA level of DFT.

Cell lengths 4.9885, 8.5118, 8.6384 Å; angles 90.00, 90.00, 90.00 degrees
With the nearest neighbours (Å) after each atom.
Space group Immm (No. 71)
Inequivalent atoms, fractional coordinates:
Tb 0.0000 0.0000 0.0000  8 Al 2.87-3.00
Al 0.0000 0.0000 0.3467  6 Fe 2.58-2.60, 3 Al 2.65-2.82
Al 0.0000 0.3376 0.0000  6 Fe 2.60-2.63, 1 Al 2.76, 1 Tb 2.87
Al 0.0000 0.5000 0.3068  6 Fe 2.51-2.64
Fe 0.0000 0.2600 0.5000  4 Fe 2.50, 6 Al 2.58-2.64
Fe 0.2500 0.2500 0.2500  4 Fe 2.49-2.50, 6 Al 2.51-2.60



DFT formation energy (computed, kcal/mol of atoms): 1.17; -8.75
V (computed, A^3/atom): 13.104; 14.108